[1]
SrGaOsO6: optimized geometry, PBE.

Cell lengths 5.2278, 5.2277, 5.3628 Å; angles 90.00, 90.00, 60.00 degrees
Closest atoms and distances in Å follow each position.
Fractional coordinates of all 9 atoms:
Sr1 0.0000 0.0000 0.0000  6 O 2.56
Ga1 0.6666 0.6667 0.5000  6 O 2.00
O1 0.0137 0.6103 0.7012  1 Os 1.91, 1 Ga 2.00
Os1 0.3333 0.3333 0.5000  6 O 1.91
O2 0.6103 0.0137 0.2988  1 Os 1.91, 1 Ga 2.00
O3 0.6103 0.3760 0.7012  1 Os 1.91, 1 Ga 2.00
O4 0.0137 0.3760 0.2988  1 Os 1.91, 1 Ga 2.00
O5 0.3760 0.6103 0.2988  1 Os 1.91, 1 Ga 2.00
O6 0.3759 0.0137 0.7012  1 Os 1.91, 1 Ga 2.00

Summary:
space group = P312
raw total energy = -6.75 eV/atom
calculated volume = 126.9 Å³ per cell
uncorrected formation energy = -1673 meV/atom

[2]
SrGaOs2O8: optimized geometry, PBE.

Cell lengths 5.4953, 5.4953, 7.0569 Å; angles 90.00, 90.00, 120.00 degrees
Closest atoms and distances in Å follow each position.
Fractional coordinates of all 12 atoms:
Sr1 0.0000 0.0000 0.0000  6 O 2.72
Ga1 0.0000 0.0000 0.5000  6 O 2.00
O1 0.3019 0.2479 0.3181  1 Os 1.84, 1 Ga 2.00
Os1 0.3333 0.6667 0.7258  4 O 1.81-1.84
O2 0.3333 0.6667 0.9829  1 Os 1.81
O3 0.0539 0.3019 0.6819  1 Os 1.84, 1 Ga 2.00
O4 0.6981 0.7521 0.6819  1 Os 1.84, 1 Ga 2.00
O5 0.7521 0.0539 0.3181  1 Os 1.84, 1 Ga 2.00
O6 0.6667 0.3333 0.0171  1 Os 1.81
O7 0.2479 0.9461 0.6819  1 Os 1.84, 1 Ga 2.00
O8 0.9461 0.6981 0.3181  1 Os 1.84, 1 Ga 2.00
Os2 0.6667 0.3333 0.2742  4 O 1.81-1.84

Summary:
space group = P-3
raw total energy = -6.80 eV/atom
calculated volume = 184.6 Å³ per cell
uncorrected formation energy = -1228 meV/atom

[3]
SrGaOsO5: optimized geometry, PBE.

Cell lengths 5.7993, 5.7993, 7.3631 Å; angles 104.08, 104.08, 106.85 degrees
Closest atoms and distances in Å follow each position.
Fractional coordinates of all 16 atoms:
O1 0.9587 0.0413 0.7500  2 Os 1.88
O2 0.1043 0.6983 0.9094  1 Ga 1.86, 1 Os 2.03
O3 0.3017 0.8957 0.5906  1 Ga 1.86, 1 Os 2.03
Sr1 0.6669 0.3331 0.7500  7 O 2.55-2.72
Os1 0.0000 0.0000 0.0000  6 O 1.88-2.03
O4 0.8957 0.3017 0.0906  1 Ga 1.86, 1 Os 2.03
O5 0.2414 0.3624 0.5829  1 Ga 1.87, 1 Os 2.00
O6 0.0413 0.9587 0.2500  2 Os 1.88
O7 0.6983 0.1043 0.4094  1 Ga 1.86, 1 Os 2.03
Sr2 0.3331 0.6669 0.2500  7 O 2.55-2.72
O8 0.7586 0.6376 0.4171  1 Ga 1.87, 1 Os 2.00
O9 0.6376 0.7586 0.9171  1 Ga 1.87, 1 Os 2.00
Os2 0.0000 0.0000 0.5000  6 O 1.88-2.03
O10 0.3624 0.2414 0.0829  1 Ga 1.87, 1 Os 2.00
Ga1 0.6919 0.3081 0.2500  4 O 1.86-1.87
Ga2 0.3081 0.6919 0.7500  4 O 1.86-1.87

Summary:
space group = C2/c
raw total energy = -6.88 eV/atom
calculated volume = 216.4 Å³ per cell
uncorrected formation energy = -1790 meV/atom

[4]
GaTc2OsO: optimized geometry, PBE.

Cell lengths 4.7455, 4.8023, 4.7455 Å; angles 90.00, 90.00, 90.00 degrees
Closest atoms and distances in Å follow each position.
Fractional coordinates of all 5 atoms:
Ga1 0.0000 0.5000 0.0000  2 Os 2.40
Tc1 0.0000 0.0000 0.5000  2 Os 2.37
Os1 0.0000 0.0000 0.0000  4 Tc 2.37, 2 Ga 2.40
O1 0.5000 0.5000 0.5000  4 Ga 3.36, 8 Tc 3.38
Tc2 0.5000 0.0000 0.0000  2 Os 2.37

Summary:
space group = P4/mmm
raw total energy = -6.31 eV/atom
calculated volume = 108.1 Å³ per cell
uncorrected formation energy = 1675 meV/atom

[5]
TlGaOs2O8: optimized geometry, PBE.

Cell lengths 5.3741, 5.3741, 8.2089 Å; angles 90.00, 90.00, 120.00 degrees
Closest atoms and distances in Å follow each position.
Fractional coordinates of all 12 atoms:
O1 0.9575 0.6831 0.3549  1 Os 1.82, 1 Ga 2.00
O2 0.3169 0.2744 0.3549  1 Os 1.82, 1 Ga 2.00
O3 0.2744 0.9575 0.6451  1 Os 1.82, 1 Ga 2.00
Os1 0.6667 0.3333 0.2894  4 O 1.77-1.82
Os2 0.3333 0.6667 0.7106  4 O 1.77-1.82
Ga1 0.0000 0.0000 0.5000  6 O 2.00
O4 0.3333 0.6667 0.9268  1 Os 1.77
O5 0.0425 0.3169 0.6451  1 Os 1.82, 1 Ga 2.00
O6 0.7256 0.0425 0.3549  1 Os 1.82, 1 Ga 2.00
Tl1 0.0000 0.0000 0.0000  12 O 3.16-3.32
O7 0.6831 0.7256 0.6451  1 Os 1.82, 1 Ga 2.00
O8 0.6667 0.3333 0.0732  1 Os 1.77

Summary:
space group = P-3
raw total energy = -6.56 eV/atom
calculated volume = 205.3 Å³ per cell
uncorrected formation energy = -935 meV/atom

[6]
TlGaOsO6: optimized geometry, PBE.

Cell lengths 5.2388, 5.2388, 4.8963 Å; angles 90.00, 90.00, 60.00 degrees
Closest atoms and distances in Å follow each position.
Fractional coordinates of all 9 atoms:
Tl1 0.0000 0.0000 0.0000  6 O 2.42
Os1 0.3333 0.3333 0.5000  6 O 1.92
Ga1 0.6666 0.6667 0.5000  6 O 2.00
O1 0.6147 0.3733 0.7186  1 Os 1.92, 1 Ga 2.00
O2 0.6147 0.0120 0.2814  1 Os 1.92, 1 Ga 2.00
O3 0.0119 0.3733 0.2814  1 Os 1.92, 1 Ga 2.00
O4 0.3733 0.6147 0.2814  1 Os 1.92, 1 Ga 2.00
O5 0.0119 0.6147 0.7186  1 Os 1.92, 1 Ga 2.00
O6 0.3733 0.0120 0.7186  1 Os 1.92, 1 Ga 2.00

Summary:
space group = P312
raw total energy = -6.23 eV/atom
calculated volume = 116.4 Å³ per cell
uncorrected formation energy = -1077 meV/atom

[7]
GaPO4: optimized geometry, PBE.

Cell lengths 5.0084, 5.0084, 11.2440 Å; angles 90.00, 90.00, 120.00 degrees
Closest atoms and distances in Å follow each position.
Fractional coordinates of all 18 atoms:
O1 0.7334 0.1458 0.2076  1 P 1.55
O2 0.2666 0.4124 0.1257  1 P 1.55
P1 0.5378 0.5378 0.5000  4 O 1.55
O3 0.0973 0.6894 0.2725  1 P 1.55
O4 0.4079 0.3106 0.3942  1 P 1.55
O5 0.9027 0.5921 0.0609  1 P 1.55
Ga1 0.4607 0.0000 0.3333  4 O 1.84
P2 0.0000 0.4622 0.1667  4 O 1.55
O6 0.1458 0.7334 0.7924  1 P 1.55
O7 0.3106 0.4079 0.6058  1 P 1.55
O8 0.5876 0.8542 0.4591  1 P 1.55
O9 0.5921 0.9027 0.9391  1 P 1.55
O10 0.6894 0.0973 0.7275  1 P 1.55
O11 0.4124 0.2666 0.8743  1 P 1.55
Ga2 0.5393 0.5393 0.0000  4 O 1.84
P3 0.4622 0.0000 0.8333  4 O 1.55
Ga3 0.0000 0.4607 0.6667  4 O 1.84
O12 0.8542 0.5876 0.5409  1 P 1.55

Summary:
space group = P3_121
raw total energy = -6.83 eV/atom
calculated volume = 244.3 Å³ per cell
uncorrected formation energy = -2114 meV/atom

[8]
GaP2O2: optimized geometry, PBE.

Cell lengths 3.6671, 3.6671, 5.7411 Å; angles 90.00, 90.00, 90.00 degrees
Closest atoms and distances in Å follow each position.
Fractional coordinates of all 5 atoms:
P1 0.5000 0.0000 0.0000  2 O 1.83
P2 0.0000 0.5000 0.0000  2 O 1.83
O1 0.0000 0.0000 0.5000  4 Ga 2.59, 2 O 2.87
O2 0.0000 0.0000 0.0000  4 P 1.83
Ga1 0.5000 0.5000 0.5000  4 O 2.59

Summary:
space group = P4/mmm
raw total energy = -4.26 eV/atom
offset from the most stable computed form = 1.0530 eV per atom
calculated volume = 77.2 Å³ per cell
uncorrected formation energy = 488 meV/atom

[9]
Ga2PO6: optimized geometry, PBE.

Cell lengths 4.4368, 4.4368, 8.5912 Å; angles 90.00, 90.00, 90.00 degrees
Closest atoms and distances in Å follow each position.
Fractional coordinates of all 18 atoms:
O1 0.8164 0.1836 0.8531  1 P 1.71
O2 0.7221 0.7221 0.0000  1 P 1.74
O3 0.3164 0.3164 0.6469  1 P 1.71
O4 0.1836 0.8164 0.1469  1 P 1.71
O5 0.7779 0.2221 0.5000  1 P 1.74
Ga1 0.5000 0.5000 0.1668  6 O 1.97-2.00
Ga2 0.0000 0.0000 0.3332  6 O 1.97-2.00
O6 0.6836 0.6836 0.6469  1 P 1.71
P1 0.5000 0.5000 0.5000  6 O 1.71-1.74
O7 0.1836 0.8164 0.8531  1 P 1.71
O8 0.2221 0.7779 0.5000  1 P 1.74
Ga3 0.0000 0.0000 0.6668  6 O 1.97-2.00
O9 0.6836 0.6836 0.3531  1 P 1.71
O10 0.3164 0.3164 0.3531  1 P 1.71
P2 0.0000 0.0000 0.0000  6 O 1.71-1.74
O11 0.2779 0.2779 0.0000  1 P 1.74
O12 0.8164 0.1836 0.1469  1 P 1.71
Ga4 0.5000 0.5000 0.8332  6 O 1.97-2.00

Summary:
space group = P4_2/mnm
raw total energy = -6.20 eV/atom
calculated volume = 169.1 Å³ per cell
uncorrected formation energy = -1623 meV/atom

[10]
GaPO4: optimized geometry, PBE.

Cell lengths 5.0424, 5.0424, 7.0519 Å; angles 90.00, 90.00, 90.20 degrees
Closest atoms and distances in Å follow each position.
Fractional coordinates of all 12 atoms:
O1 0.7737 0.1588 0.9298  1 P 1.55
P1 0.3116 0.6884 0.2500  4 O 1.55
Ga1 0.8088 0.8088 0.0000  4 O 1.84
Ga2 0.1912 0.1912 0.5000  4 O 1.84
O2 0.3898 0.2637 0.7122  1 P 1.55
O3 0.6102 0.7363 0.2122  1 P 1.55
P2 0.6884 0.3116 0.7500  4 O 1.55
O4 0.1588 0.7737 0.0702  1 P 1.55
O5 0.7363 0.6102 0.7878  1 P 1.55
O6 0.2263 0.8412 0.4298  1 P 1.55
O7 0.2637 0.3898 0.2878  1 P 1.55
O8 0.8412 0.2263 0.5702  1 P 1.55

Summary:
space group = C222_1
raw total energy = -6.83 eV/atom
calculated volume = 179.3 Å³ per cell
uncorrected formation energy = -2120 meV/atom

[11]
GaPO4: optimized geometry, PBE.

Cell lengths 5.1445, 5.1445, 5.1445 Å; angles 121.89, 121.89, 86.75 degrees
Closest atoms and distances in Å follow each position.
Fractional coordinates of all 6 atoms:
O1 0.2663 0.8562 0.8526  1 P 1.55
P1 0.2500 0.7500 0.5000  4 O 1.55
O2 0.5863 0.7337 0.5898  1 P 1.55
O3 0.1438 0.9965 0.4102  1 P 1.55
O4 0.0035 0.4137 0.1474  1 P 1.55
Ga1 0.0000 0.0000 0.0000  4 O 1.84

Summary:
space group = I-4
raw total energy = -6.84 eV/atom
calculated volume = 93.4 Å³ per cell
uncorrected formation energy = -2125 meV/atom

[12]
GaP2O6: optimized geometry, PBE.

Cell lengths 5.0220, 5.0220, 6.3836 Å; angles 66.84, 66.84, 60.00 degrees
Closest atoms and distances in Å follow each position.
Fractional coordinates of all 9 atoms:
O1 0.4810 0.0727 0.7672  1 P 1.53
O2 0.3224 0.5286 0.2329  1 P 1.53
O3 0.9161 0.3224 0.2329  1 P 1.53
Ga1 0.3328 0.3328 0.0016  6 O 2.04-2.05
P1 0.6010 0.6010 0.1970  3 O 1.53
O4 0.0727 0.6791 0.7672  1 P 1.53
P2 0.7320 0.7320 0.8039  3 O 1.53
O5 0.6791 0.4810 0.7672  1 P 1.53
O6 0.5286 0.9161 0.2329  1 P 1.53

Summary:
space group = R3
raw total energy = -6.52 eV/atom
offset from the most stable computed form = 0.0794 eV per atom
calculated volume = 124.2 Å³ per cell
uncorrected formation energy = -1674 meV/atom